[1]
Material: LaMnH3
Method: DFT, PBE
State: relaxed

Unit cell a=4.4226 b=4.4226 c=4.4226 alpha=90.00 beta=90.00 gamma=90.00
Sites, in units of the cell vectors:
La 0.0000 0.0000 0.0000
Mn 0.5000 0.5000 0.5000
H 0.0000 0.0000 0.5000
H 0.0000 0.5000 0.0000
H 0.5000 0.0000 0.0000

Computed properties:
M_tot   4.977 μB/cell
Raw total energy   -4.4840 eV/atom

---

[2]
Material: Th3As4Rh4
Method: DFT, PBE
State: relaxed

Unit cell a=13.3912 b=13.3912 c=13.3912 alpha=162.81 beta=161.96 gamma=25.01
Sites, in units of the cell vectors:
Th 0.0000 0.0000 0.0000
Th 0.3527 0.8527 0.5000
Th 0.6473 0.1473 0.5000
As 0.1945 0.6945 0.5000
As 0.4476 0.4476 0.0000
As 0.5524 0.5524 0.0000
As 0.8055 0.3055 0.5000
Rh 0.1010 0.6010 0.5000
Rh 0.2513 0.2513 0.0000
Rh 0.7487 0.7487 0.0000
Rh 0.8990 0.3990 0.5000

Computed properties:
Formation enthalpy at 0 K   -24.3 kcal/mol of atoms
M_tot   0.000 μB/cell
Raw total energy   -7.4412 eV/atom

---

[3]
Material: Sc2AlPdRu
Method: DFT, PBE
State: relaxed

Unit cell a=5.0458 b=5.0458 c=4.2936 alpha=90.00 beta=90.00 gamma=90.00
Sites, in units of the cell vectors:
Sc 0.0000 0.5000 0.0000
Sc 0.5000 0.0000 0.0000
Al 0.0000 0.0000 0.0000
Pd 0.0000 0.0000 0.5000
Ru 0.5000 0.5000 0.5000

Computed properties:
Formation enthalpy at 0 K   14.1 kcal/mol of atoms
M_tot   0.969 μB/cell
Raw total energy   -5.5628 eV/atom